# NaPr5S8 | the Alexandria database | PBE-GGA | optimized geometry
data_NaPr5S8
_cell_length_a 7.496
_cell_length_b 7.496
_cell_length_c 7.496
_cell_angle_alpha 109.51
_cell_angle_beta 109.51
_cell_angle_gamma 109.39
_symmetry_space_group_name_H-M 'P 1'
_symmetry_Int_Tables_number 1
loop_
_symmetry_equiv_pos_as_xyz
'x,y,z'
loop_
_atom_site_label
_atom_site_type_symbol
_atom_site_fract_x
_atom_site_fract_y
_atom_site_fract_z
_atom_site_occupancy
Na1 Na 0.000 0.000 0.000 1
Pr1 Pr 0.241 0.119 0.617 1
Pr2 Pr 0.376 0.759 0.878 1
Pr3 Pr 0.501 0.624 0.383 1
Pr4 Pr 0.750 0.250 0.500 1
Pr5 Pr 0.881 0.499 0.122 1
S1 S 0.123 0.375 0.402 1
S2 S 0.130 0.386 0.895 1
S3 S 0.278 0.877 0.252 1
S4 S 0.490 0.235 0.105 1
S5 S 0.614 0.510 0.745 1
S6 S 0.625 0.027 0.748 1
S7 S 0.765 0.870 0.255 1
S8 S 0.973 0.722 0.598 1
# - ΔE_f (raw): -1.983 eV/atom
# - Uncorrected energy: -6.143 eV per atom
# - Space group: No. 82
# - Volume: 23.16 A^3/atom
# - D(E_F): 0.0 states/eV/cell